1.
First-principles (PBE-GGA) data for a relaxed CsBaV2Cl8 crystal, as listed in Alexandria via LeMat-Bulk.

a b c (Å): 6.8797 6.8797 10.5427
angles (deg): 90.00 90.00 120.00
With the nearest neighbours (Å) after each atom.
Fractional positions:
Cs  0.0000  0.0000  0.0000  12 Cl 3.98-3.99
Ba  0.0000  0.0000  0.5000  6 Cl 3.09
V  0.6667  0.3333  0.2419  4 Cl 2.25-2.32
V  0.3333  0.6667  0.7581  4 Cl 2.25-2.32
Cl  0.3333  0.6667  0.9715  1 V 2.25
Cl  0.3449  0.3330  0.3071  1 V 2.32
Cl  0.6670  0.0119  0.3071  1 V 2.32
Cl  0.6667  0.3333  0.0285  1 V 2.25
Cl  0.3330  0.9881  0.6929  1 V 2.32
Cl  0.6551  0.6670  0.6929  1 V 2.32
Cl  0.0119  0.3449  0.6929  1 V 2.32
Cl  0.9881  0.6551  0.3071  1 V 2.32

Properties
raw formation energy: -1.546 eV/atom

---

2.
First-principles (PBE-GGA) data for a relaxed BeAl2CuAs crystal, as listed in Alexandria via LeMat-Bulk.

a b c (Å): 4.4210 4.3742 4.4210
angles (deg): 90.00 90.00 90.00
With the nearest neighbours (Å) after each atom.
Fractional positions:
Be  0.0000  0.0000  0.0000  2 As 2.19, 4 Al 2.21
As  0.0000  0.5000  0.0000  2 Be 2.19
Al  0.0000  0.0000  0.5000  2 Be 2.21
Al  0.5000  0.0000  0.0000  2 Be 2.21
Cu  0.5000  0.5000  0.5000  8 Al 3.11, 4 As 3.13

Properties
formation enthalpy at 0 K: 54 kJ per mole of atoms

---

3.
First-principles (PBE-GGA) data for a relaxed La2NdAg3 crystal, as listed in Alexandria via LeMat-Bulk.

a b c (Å): 3.7808 3.7808 11.5307
angles (deg): 90.00 90.00 90.00
With the nearest neighbours (Å) after each atom.
Fractional positions:
La  0.5000  0.5000  0.8314  8 Ag 3.31-3.33
La  0.5000  0.5000  0.1686  8 Ag 3.31-3.33
Nd  0.5000  0.5000  0.5000  8 Ag 3.24
Ag  0.0000  0.0000  0.0000  8 La 3.31
Ag  0.0000  0.0000  0.6593  4 Nd 3.24, 4 La 3.33
Ag  0.0000  0.0000  0.3407  4 Nd 3.24, 4 La 3.33

Properties
formation enthalpy at 0 K: -25 kJ per mole of atoms

---

4.
First-principles (PBE-GGA) data for a relaxed POsRu2 crystal, as listed in Alexandria via LeMat-Bulk.

a b c (Å): 4.2732 4.2732 4.2732
angles (deg): 60.00 60.00 60.00
With the nearest neighbours (Å) after each atom.
Fractional positions:
P  0.7500  0.7500  0.7500  4 Os 2.62, 4 Ru 2.62
Os  0.5000  0.5000  0.5000  4 P 2.62, 4 Ru 2.62
Ru  0.0000  0.0000  0.0000  4 P 2.62, 4 Ru 2.62
Ru  0.2500  0.2500  0.2500  4 Os 2.62, 4 Ru 2.62

Properties
formation enthalpy at 0 K: 37 kJ per mole of atoms

---

5.
First-principles (PBE-GGA) data for a relaxed SrCo2Ir crystal, as listed in Alexandria via LeMat-Bulk.

a b c (Å): 4.6101 4.6101 3.0332
angles (deg): 90.00 90.00 90.10
With the nearest neighbours (Å) after each atom.
Fractional positions:
Co  0.0000  0.0000  0.0000  4 Ir 2.76, 4 Sr 2.76, 2 Co 3.03
Co  0.5000  0.5000  0.0000  4 Sr 2.76, 4 Ir 2.76, 2 Co 3.03
Ir  0.5000  0.0000  0.5000  8 Co 2.76, 2 Ir 3.03
Sr  0.0000  0.5000  0.5000  8 Co 2.76, 2 Sr 3.03

Properties
formation enthalpy at 0 K: 58 kJ per mole of atoms

---

6.
First-principles (PBE-GGA) data for a relaxed CdHgAs2 crystal, as listed in Alexandria via LeMat-Bulk.

a b c (Å): 5.2682 5.2682 5.2682
angles (deg): 128.51 128.51 75.81
With the nearest neighbours (Å) after each atom.
Fractional positions:
As  0.0000  0.0000  0.0000  4 Hg 3.09, 4 As 3.09, 4 Cd 3.24
As  0.2500  0.7500  0.5000  4 Cd 3.09, 4 As 3.09, 4 Hg 3.24
Hg  0.7500  0.2500  0.5000  8 As 3.09-3.24, 4 Cd 3.09
Cd  0.5000  0.5000  0.0000  8 As 3.09-3.24, 4 Hg 3.09

Properties
energy above the lowest structure with this stoichiometry: 296.0 meV per atom
formation enthalpy at 0 K: 31 kJ per mole of atoms

---

7.
First-principles (PBE-GGA) data for a relaxed LiThCu2 crystal, as listed in Alexandria via LeMat-Bulk.

a b c (Å): 3.3024 4.8759 4.8759
angles (deg): 90.00 90.00 90.00
With the nearest neighbours (Å) after each atom.
Fractional positions:
Cu  0.0000  0.0000  0.5000  4 Th 2.94, 4 Li 2.94
Cu  0.0000  0.5000  0.0000  4 Li 2.94, 4 Th 2.94
Th  0.5000  0.0000  0.0000  8 Cu 2.94
Li  0.5000  0.5000  0.5000  8 Cu 2.94

Properties
formation enthalpy at 0 K: 6 kJ per mole of atoms

---

8.
First-principles (PBE-GGA) data for a relaxed NaMnSb2I crystal, as listed in Alexandria via LeMat-Bulk.

a b c (Å): 5.4030 5.4030 5.5895
angles (deg): 90.00 90.00 90.00
With the nearest neighbours (Å) after each atom.
Fractional positions:
I  0.0000  0.0000  0.5000  2 Na 2.79
Sb  0.0000  0.5000  0.0000  2 Na 2.70
Sb  0.5000  0.0000  0.0000  2 Na 2.70
Mn  0.5000  0.5000  0.5000  4 I 3.82, 8 Sb 3.89
Na  0.0000  0.0000  0.0000  4 Sb 2.70, 2 I 2.79

Properties
energy above the lowest structure with this stoichiometry: 1370.9 meV per atom
raw formation energy: 1.462 eV/atom

---

9.
First-principles (PBE-GGA) data for a relaxed Mn2RhPb crystal, as listed in Alexandria via LeMat-Bulk.

a b c (Å): 7.3948 7.3948 5.8998
angles (deg): 51.19 51.19 90.00
With the nearest neighbours (Å) after each atom.
Fractional positions:
Pb  0.0000  0.0000  0.0000  2 Rh 2.73, 4 Mn 2.90
Pb  0.7500  0.2500  0.5000  2 Rh 2.73, 4 Mn 2.90
Mn  0.5882  0.1250  0.2500  2 Rh 2.52, 2 Mn 2.79
Mn  0.1618  0.6250  0.2500  2 Rh 2.52, 2 Mn 2.79
Mn  0.3750  0.4118  0.7500  2 Rh 2.52, 2 Mn 2.79
Mn  0.8750  0.8382  0.7500  2 Rh 2.52, 2 Mn 2.79
Rh  0.5000  0.5000  0.0000  4 Mn 2.52, 2 Pb 2.73
Rh  0.2500  0.7500  0.5000  4 Mn 2.52, 2 Pb 2.73

Properties
formation enthalpy at 0 K: 45 kJ per mole of atoms

---

10.
First-principles (PBE-GGA) data for a relaxed RbTaBe crystal, as listed in Alexandria via LeMat-Bulk.

a b c (Å): 4.0326 4.0326 12.4988
angles (deg): 90.00 90.00 120.00
With the nearest neighbours (Å) after each atom.
Fractional positions:
Be  0.3333  0.6667  0.7500  3 Ta 2.33
Be  0.6667  0.3333  0.2500  3 Ta 2.33
Rb  0.0000  0.0000  0.0000  6 Ta 3.90, 6 Be 3.90, 6 Rb 4.03
Rb  0.0000  0.0000  0.5000  6 Be 3.90, 6 Ta 3.90, 6 Rb 4.03
Ta  0.3333  0.6667  0.2500  3 Be 2.33
Ta  0.6667  0.3333  0.7500  3 Be 2.33

Properties
energy above the lowest structure with this stoichiometry: 1106.8 meV per atom
formation enthalpy at 0 K: 150 kJ per mole of atoms

---

11.
First-principles (PBE-GGA) data for a relaxed PrPuCrN3 crystal, as listed in Alexandria via LeMat-Bulk.

a b c (Å): 3.4469 7.3516 7.4361
angles (deg): 98.07 90.00 90.00
With the nearest neighbours (Å) after each atom.
Fractional positions:
Pr  0.7500  0.8314  0.8195  5 N 2.48-2.75
Pr  0.2500  0.1686  0.1805  5 N 2.48-2.75
Pu  0.2500  0.6382  0.1726  5 N 2.25-2.46
Pu  0.7500  0.3618  0.8274  5 N 2.25-2.46
Cr  0.2500  0.0861  0.5927  4 N 1.85-1.94
Cr  0.7500  0.9139  0.4073  4 N 1.85-1.94
N  0.2500  0.8364  0.4884  3 Cr 1.89-1.94
N  0.7500  0.8742  0.1563  1 Cr 1.85
N  0.7500  0.4167  0.1330  3 Pu 2.25-2.36
N  0.7500  0.1636  0.5116  3 Cr 1.89-1.94
N  0.2500  0.5833  0.8670  3 Pu 2.25-2.36
N  0.2500  0.1258  0.8437  1 Cr 1.85

Properties
raw formation energy: -0.954 eV/atom

---

12.
First-principles (PBE-GGA) data for a relaxed CaH4Se2O7 crystal, as listed in Alexandria via LeMat-Bulk.

a b c (Å): 7.0355 7.5072 6.8613
angles (deg): 88.44 92.00 108.03
With the nearest neighbours (Å) after each atom.
Fractional positions:
Ca  0.2284  0.9230  0.1251  8 O 2.42-2.63
Ca  0.7716  0.0770  0.8749  8 O 2.42-2.63
H  0.2438  0.7345  0.5406  1 O 1.07
H  0.7562  0.2655  0.4594  1 O 1.07
H  0.4578  0.6569  0.0122  1 O 1.02
H  0.5422  0.3431  0.9878  1 O 1.02
H  0.2115  0.4890  0.7102  1 O 1.00
H  0.7885  0.5110  0.2898  1 O 1.00
H  0.4314  0.6194  0.6795  1 O 0.99
H  0.5686  0.3806  0.3205  1 O 0.99
O  0.0390  0.9512  0.7938  1 Se 1.71
O  0.9610  0.0488  0.2062  1 Se 1.71
O  0.4140  0.9837  0.8144  1 Se 1.69
O  0.5860  0.0163  0.1856  1 Se 1.69
O  0.2132  0.8541  0.4770  1 H 1.07
O  0.7868  0.1459  0.5230  1 H 1.07
O  0.9181  0.6488  0.1002  1 Se 1.71, 1 H 1.74
O  0.0819  0.3512  0.8998  1 Se 1.71, 1 H 1.74
O  0.3626  0.2867  0.1430  1 H 1.63, 1 Se 1.73
O  0.6374  0.7133  0.8570  1 H 1.63, 1 Se 1.73
O  0.3418  0.6408  0.1035  1 H 1.02
O  0.6582  0.3592  0.8965  1 H 1.02
O  0.2998  0.5700  0.6100  2 H 0.99-1.00
O  0.7002  0.4300  0.3900  2 H 0.99-1.00
Se  0.2476  0.0354  0.6570  3 O 1.69-1.82
Se  0.7524  0.9646  0.3430  3 O 1.69-1.82
Se  0.1817  0.3986  0.1303  3 O 1.71-1.83
Se  0.8183  0.6014  0.8697  3 O 1.71-1.83

---

| no. | E (eV per atom) |
| --- | --- |
| 1 | -4.528 |
| 2 | -3.436 |
| 3 | -4.121 |
| 4 | -8.418 |
| 5 | -5.590 |
| 6 | -2.311 |
| 7 | -4.320 |
| 8 | -2.595 |
| 9 | -6.884 |
| 10 | -3.958 |
| 11 | -9.905 |
| 12 | -5.369 |